Entry from Alexandria: a relaxed TbPmIn6 crystal (PBE).

```
TbPmIn6
1.0
5.308 0.000 0.000
0.000 6.677 -0.216
0.000 -3.150 5.891
Pm In Tb
1 6 1
Cartesian
0.000 -2.327 5.380
0.000 2.622 2.304
2.654 4.282 3.145
0.000 -0.819 2.405
2.654 5.794 0.332
2.654 2.603 0.443
0.000 1.008 5.344
2.654 0.941 3.349
```

Values from the calculation:
formation energy: -0.3921 eV/atom
SG: No. 38
crystal system: orthorhombic
polymorph energy (0 for the lowest one): 0.45 eV/f.u.